CrRe2Ru | PBE | relaxed

The distance to the lowest polymorph of the same formula comes out at 0.014 eV/atom. The spin magnetization is 0.01 μB/f.u.

It has space group C2/m (No. 12), with a = 8.9664 Å, b = 2.7272 Å, c = 4.6870 Å, α = 90.00°, β = 100.03° and γ = 90.00°. Symmetry generates all atoms from Cr at (0.0000, 0.0000, 0.0000), Re at (0.2486, 0.0000, 0.7514) and Ru at (0.0000, 0.5000, 0.5000).



LaY5Sc2 | PBE | relaxed

The distance to the lowest polymorph of the same formula comes out at 0.101 eV/atom. The spin magnetization is 0.00 μB/f.u.

It has space group Cmcm (No. 63), with a = 5.4356 Å, b = 11.6450 Å, c = 15.7672 Å, α = 90.00°, β = 90.00° and γ = 90.00°. Symmetry generates all atoms from La at (0.0000, 0.2364, 0.2500), Y at (0.0000, 0.0361, 0.7500), Y at (0.0000, 0.1362, 0.0409), Y at (0.0000, 0.4362, 0.0970) and Sc at (0.0000, 0.2797, 0.6405).



GeBOs2 | PBE | relaxed

The distance to the lowest polymorph of the same formula comes out at 0.219 eV/atom. The spin magnetization is 0.00 μB/f.u.

It has space group I-42d (No. 122), with a = 4.2647 Å, b = 4.2647 Å, c = 13.7321 Å, α = 90.00°, β = 90.00° and γ = 90.00°. Symmetry generates all atoms from Ge at (0.0000, 0.0000, 0.0000), B at (0.0000, 0.0000, 0.5000) and Os at (0.1653, 0.2500, 0.6250).



LuTlRh2 | PBE | relaxed

The calculation puts the final energy at -5.920 eV/atom. The spin magnetization is 0.00 μB/f.u.

It has space group P4/mmm (No. 123), with a = 3.3868 Å, b = 3.3868 Å, c = 6.4033 Å, α = 90.00°, β = 90.00° and γ = 90.00°. Symmetry generates all atoms from Lu at (0.0000, 0.0000, 0.0000), Tl at (0.0000, 0.0000, 0.5000) and Rh at (0.5000, 0.5000, 0.2501).